Entry 1:
The following is a PBE calculation of CsGeN2 after structural relaxation, from Alexandria via LeMat-Bulk.

Unit cell a=5.955 b=5.955 c=5.955 alpha=119.92 beta=119.92 gamma=90.14
Fractional positions:
Cs: 0.000 0.000 0.000
Cs: 0.750 0.250 0.500
Ge: 0.250 0.750 0.500
Ge: 0.500 0.500 0.000
N: 0.322 0.625 0.197
N: 0.375 0.572 0.697
N: 0.428 0.125 0.803
N: 0.875 0.678 0.303

magnetization: 2.00 μB per cell
ΔE_f (raw): 31 kJ per mole of atoms
total energy: -0.19162 Ha/atom

---

Entry 2:
The following is a PBE calculation of CsGeN after structural relaxation, from Alexandria via LeMat-Bulk.

Unit cell a=14.315 b=3.473 c=6.335 alpha=90.00 beta=90.00 gamma=90.00
Fractional positions:
Cs: 0.137 0.250 0.076
Cs: 0.363 0.750 0.576
Cs: 0.637 0.250 0.424
Cs: 0.863 0.750 0.924
Ge: 0.075 0.750 0.581
Ge: 0.425 0.250 0.081
Ge: 0.575 0.750 0.919
Ge: 0.925 0.250 0.419
N: 0.007 0.250 0.668
N: 0.493 0.750 0.168
N: 0.507 0.250 0.832
N: 0.993 0.750 0.332

magnetization: 0.00 μB per cell
ΔE_f (raw): -2 kJ per mole of atoms
total energy: -0.16969 Ha/atom

---

Entry 3:
The following is a PBE calculation of CsGeNO2 after structural relaxation, from Alexandria via LeMat-Bulk.

Unit cell a=4.423 b=4.423 c=4.428 alpha=90.00 beta=90.00 gamma=90.00
Fractional positions:
Cs: 0.000 0.000 0.000
Ge: 0.500 0.500 0.500
N: 0.000 0.000 0.500
O: 0.000 0.500 0.000
O: 0.500 0.000 0.000

magnetization: 0.00 μB per cell
ΔE_f (raw): 141 kJ per mole of atoms
total energy: -0.12049 Ha/atom

---

Repeat the third record exactly.
The following is a PBE calculation of CsGeNO2 after structural relaxation, from Alexandria via LeMat-Bulk.

Unit cell a=4.423 b=4.423 c=4.428 alpha=90.00 beta=90.00 gamma=90.00
Fractional positions:
Cs: 0.000 0.000 0.000
Ge: 0.500 0.500 0.500
N: 0.000 0.000 0.500
O: 0.000 0.500 0.000
O: 0.500 0.000 0.000

magnetization: 0.00 μB per cell
ΔE_f (raw): 141 kJ per mole of atoms
total energy: -0.12049 Ha/atom

---

Question: Number 2 is which compound?
Answer: CsGeN

---

Question: What is the formula in the third record?
Answer: CsGeNO2